(one)
# LaPmSnPb (PBE, relaxed)
# Total magnetic moment (μB/f.u.): 0.0
data_LaPmSnPb
_cell_length_a 7.888
_cell_length_b 7.888
_cell_length_c 7.888
_cell_angle_alpha 90.00
_cell_angle_beta 90.00
_cell_angle_gamma 90.00
_symmetry_space_group_name_H-M 'F -4 3 m'
_symmetry_Int_Tables_number 216
_symmetry_space_group_name_Hall 'F -4 2 3'
loop_
_atom_site_label
_atom_site_fract_x
_atom_site_fract_y
_atom_site_fract_z
_atom_site_occupancy
La1 0.000 0.000 0.000 1
Pm1 0.000 0.000 0.500 1
Sn1 0.250 0.250 0.750 1
Pb1 0.250 0.250 0.250 1


(two)
# LaPmSnPb (PBE, relaxed)
# Total magnetic moment (μB/f.u.): 0.0
data_LaPmSnPb
_cell_length_a 4.483
_cell_length_b 4.737
_cell_length_c 11.949
_cell_angle_alpha 90.00
_cell_angle_beta 90.00
_cell_angle_gamma 90.00
_symmetry_space_group_name_H-M 'A m m 2'
_symmetry_Int_Tables_number 38
_symmetry_space_group_name_Hall 'A 2 -2'
loop_
_atom_site_label
_atom_site_fract_x
_atom_site_fract_y
_atom_site_fract_z
_atom_site_occupancy
La1 0.000 0.000 0.000 1
Pm1 0.500 0.000 0.268 1
Sn1 0.500 0.000 0.543 1
Pb1 0.000 0.000 0.727 1


Relative stability in kJ/mol of atoms, measured from the most stable structure: (one) 13.3; (two) 0.0


(one)
# LaPr2Pb (PBE, relaxed)
# Total magnetic moment (μB/f.u.): 0.0
data_LaPr2Pb
_cell_length_a 6.452
_cell_length_b 3.724
_cell_length_c 11.728
_cell_angle_alpha 90.00
_cell_angle_beta 100.47
_cell_angle_gamma 90.00
_symmetry_space_group_name_H-M 'C 1 m 1'
_symmetry_Int_Tables_number 8
_symmetry_space_group_name_Hall 'C -2y'
loop_
_atom_site_label
_atom_site_fract_x
_atom_site_fract_y
_atom_site_fract_z
_atom_site_occupancy
La1 0.000 0.000 0.000 1
Pr1 0.245 0.000 0.735 1
Pr2 0.421 0.000 0.264 1
Pb1 0.334 0.500 0.501 1


(two)
# LaPr2Pb (PBE, relaxed)
# Total magnetic moment (μB/f.u.): 0.0
data_LaPr2Pb
_cell_length_a 3.5796
_cell_length_b 3.5796
_cell_length_c 37.1693
_cell_angle_alpha 90.00
_cell_angle_beta 90.00
_cell_angle_gamma 120.00
_symmetry_space_group_name_H-M 'R -3 m'
_symmetry_Int_Tables_number 166
_symmetry_space_group_name_Hall '-R 3 2"'
loop_
_atom_site_label
_atom_site_fract_x
_atom_site_fract_y
_atom_site_fract_z
_atom_site_occupancy
La1 0.0000 0.0000 0.0000 1
Pr1 0.0000 0.0000 0.0928 1
Pb1 0.0000 0.0000 0.5000 1


(three)
# LaPr2Pb (PBE, relaxed)
# Total magnetic moment (μB/f.u.): 0.0
data_LaPr2Pb
_cell_length_a 5.080
_cell_length_b 5.080
_cell_length_c 4.982
_cell_angle_alpha 90.00
_cell_angle_beta 90.00
_cell_angle_gamma 90.00
_symmetry_space_group_name_H-M 'P 4/m m m'
_symmetry_Int_Tables_number 123
_symmetry_space_group_name_Hall '-P 4 2'
loop_
_atom_site_label
_atom_site_fract_x
_atom_site_fract_y
_atom_site_fract_z
_atom_site_occupancy
La1 0.000 0.000 0.000 1
Pr1 0.000 0.500 0.500 1
Pb1 0.500 0.500 0.000 1


(four)
# LaPr2Pb (PBE, relaxed)
# Total magnetic moment (μB/f.u.): 0.6
data_LaPr2Pb
_cell_length_a 4.279
_cell_length_b 4.279
_cell_length_c 7.246
_cell_angle_alpha 90.00
_cell_angle_beta 90.00
_cell_angle_gamma 90.00
_symmetry_space_group_name_H-M 'P 4/m m m'
_symmetry_Int_Tables_number 123
_symmetry_space_group_name_Hall '-P 4 2'
loop_
_atom_site_label
_atom_site_fract_x
_atom_site_fract_y
_atom_site_fract_z
_atom_site_occupancy
La1 0.000 0.000 0.000 1
Pr1 0.500 0.500 0.278 1
Pb1 0.000 0.000 0.500 1


Relative stability in kJ/mol of atoms, measured from the most stable structure: (one) 20.8; (two) 34.8; (three) 0.0; (four) 10.0


(one)
# LaPrPb (PBE, relaxed)
# Total magnetic moment (μB/f.u.): 0.0
data_LaPrPb
_cell_length_a 4.323
_cell_length_b 4.323
_cell_length_c 10.194
_cell_angle_alpha 90.00
_cell_angle_beta 90.00
_cell_angle_gamma 90.00
_symmetry_space_group_name_H-M 'I 4 m m'
_symmetry_Int_Tables_number 107
_symmetry_space_group_name_Hall 'I 4 -2'
loop_
_atom_site_label
_atom_site_fract_x
_atom_site_fract_y
_atom_site_fract_z
_atom_site_occupancy
La1 0.000 0.000 0.000 1
Pr1 0.000 0.000 0.693 1
Pb1 0.000 0.000 0.345 1


(two)
# LaPrPb (PBE, relaxed)
# Total magnetic moment (μB/f.u.): 0.0
data_LaPrPb
_cell_length_a 3.631
_cell_length_b 18.979
_cell_length_c 6.144
_cell_angle_alpha 90.00
_cell_angle_beta 90.00
_cell_angle_gamma 90.00
_symmetry_space_group_name_H-M 'C m c m'
_symmetry_Int_Tables_number 63
_symmetry_space_group_name_Hall '-C 2c 2'
loop_
_atom_site_label
_atom_site_fract_x
_atom_site_fract_y
_atom_site_fract_z
_atom_site_occupancy
La1 0.000 0.169 0.250 1
Pr1 0.000 0.500 0.000 1
Pb1 0.000 0.343 0.250 1


(three)
# LaPrPb (PBE, relaxed)
# Total magnetic moment (μB/f.u.): 0.2
data_LaPrPb
_cell_length_a 7.689
_cell_length_b 7.689
_cell_length_c 7.689
_cell_angle_alpha 90.00
_cell_angle_beta 90.00
_cell_angle_gamma 90.00
_symmetry_space_group_name_H-M 'F -4 3 m'
_symmetry_Int_Tables_number 216
_symmetry_space_group_name_Hall 'F -4 2 3'
loop_
_atom_site_label
_atom_site_fract_x
_atom_site_fract_y
_atom_site_fract_z
_atom_site_occupancy
La1 0.000 0.000 0.000 1
Pr1 0.000 0.000 0.500 1
Pb1 0.250 0.250 0.750 1


Relative stability in kJ/mol of atoms, measured from the most stable structure: (one) 0.0; (two) 18.8; (three) 9.9


(one)
# LaPrPb (PBE, relaxed)
# Total magnetic moment (μB/f.u.): 0.0
data_LaPrPb
_cell_length_a 5.3875
_cell_length_b 5.3875
_cell_length_c 3.9871
_cell_angle_alpha 90.00
_cell_angle_beta 90.00
_cell_angle_gamma 120.00
_symmetry_space_group_name_H-M 'P 3 m 1'
_symmetry_Int_Tables_number 156
_symmetry_space_group_name_Hall 'P 3 -2"'
loop_
_atom_site_label
_atom_site_fract_x
_atom_site_fract_y
_atom_site_fract_z
_atom_site_occupancy
La1 0.0000 0.0000 0.0000 1
Pr1 0.6667 0.3333 0.4261 1
Pb1 0.3333 0.6667 0.6777 1


(two)
# LaPrPb (PBE, relaxed)
# Total magnetic moment (μB/f.u.): 0.0
data_LaPrPb
_cell_length_a 4.783
_cell_length_b 4.783
_cell_length_c 9.062
_cell_angle_alpha 90.00
_cell_angle_beta 90.00
_cell_angle_gamma 90.00
_symmetry_space_group_name_H-M 'P 4/n m m'
_symmetry_Int_Tables_number 129
loop_
_symmetry_equiv_pos_as_xyz
'x,y,z'
'-x,-y,-z'
'-y+1/2,x,z'
'y+1/2,-x,-z'
'-x+1/2,-y+1/2,z'
'x+1/2,y+1/2,-z'
'y,-x+1/2,z'
'-y,x+1/2,-z'
'x+1/2,-y,-z'
'-x+1/2,y,z'
'-y,-x,-z'
'y,x,z'
'-x,y+1/2,-z'
'x,-y+1/2,z'
'y+1/2,x+1/2,-z'
'-y+1/2,-x+1/2,z'
loop_
_atom_site_label
_atom_site_fract_x
_atom_site_fract_y
_atom_site_fract_z
_atom_site_occupancy
La1 0.250 0.250 0.151 1
Pr1 0.250 0.750 0.500 1
Pb1 0.250 0.250 0.780 1


Relative stability in kJ/mol of atoms, measured from the most stable structure: (one) 18.5; (two) 0.0